No. 1
This record from Alexandria describes a relaxed TbNd2Er4 crystal. The functional is GGA-PBE.

abc: 6.0303 8.4926 9.8612
angles: 85.17 72.90 69.44
With the nearest neighbours (Å) after each atom.
Sites, in units of the cell vectors:
Tb 0.0000 0.0000 0.0000  8 Er 3.36-3.75, 3 Nd 3.59-3.71
Tb 0.2910 0.1356 0.2764  7 Er 3.35-3.66, 3 Nd 3.57-3.71
Nd 0.1049 0.5676 0.1384  8 Er 3.49-3.67, 2 Nd 3.56-3.58, 2 Tb 3.71
Nd 0.1189 0.4982 0.4974  7 Er 3.34-3.68, 2 Nd 3.56-3.70, 1 Tb 3.59
Nd 0.2974 0.0675 0.6378  8 Er 3.49-3.68, 2 Tb 3.57-3.59, 2 Nd 3.70-3.71
Nd 0.4016 0.6366 0.7784  7 Er 3.35-3.69, 2 Nd 3.58-3.71, 1 Tb 3.60
Er 0.4737 0.2113 0.9156  5 Er 3.33-3.71, 2 Tb 3.36-3.48, 3 Nd 3.53-3.67
Er 0.5094 0.7133 0.4126  4 Er 3.31-3.67, 4 Nd 3.34-3.67, 1 Tb 3.65
Er 0.5484 0.7835 0.0596  3 Tb 3.37-3.68, 5 Er 3.43-3.77, 3 Nd 3.49-3.62
Er 0.6856 0.3507 0.2160  3 Tb 3.38-3.66, 5 Er 3.44-3.77, 3 Nd 3.50-3.61
Er 0.7227 0.2807 0.5607  5 Nd 3.40-3.67, 5 Er 3.42-3.76, 1 Tb 3.62
Er 0.8525 0.8548 0.7177  5 Nd 3.38-3.69, 5 Er 3.42-3.76, 1 Tb 3.59
Er 0.8947 0.9246 0.3617  5 Er 3.31-3.71, 2 Tb 3.35-3.48, 3 Nd 3.53-3.68
Er 0.9254 0.4209 0.8622  4 Er 3.33-3.64, 4 Nd 3.35-3.66, 1 Tb 3.64

Summary:
Crystal system: triclinic
ΔE to the lowest computed polymorph (meV per atom): 0
Energy of formation (meV/atom): 79
ρ (g cm⁻³): 8.206
Raw total energy (eV/f.u.): -31.86
Spin magnetization (μB/cell): 0.00

***

No. 2
This record from Alexandria describes a relaxed LaSeI crystal. The functional is GGA-PBE.

abc: 8.6163 7.8424 9.5670
angles: 58.33 50.77 70.90
With the nearest neighbours (Å) after each atom.
Sites, in units of the cell vectors:
La 0.1660 0.8340 0.2982  4 Se 2.99-3.10, 2 I 3.27-3.34
La 0.5482 0.9518 0.4160  4 Se 2.99-3.10, 2 I 3.27-3.34
La 0.8340 0.1660 0.7018  4 Se 2.99-3.10, 2 I 3.27-3.34
La 0.9518 0.5482 0.0840  4 Se 2.99-3.10, 2 I 3.27-3.34
Se 0.1251 0.8264 0.6358  4 La 2.99-3.10
Se 0.6142 0.8372 0.1249  4 La 2.99-3.10
Se 0.8264 0.1251 0.4128  4 La 2.99-3.10
Se 0.8372 0.6142 0.4236  4 La 2.99-3.10
I 0.2631 0.3439 0.4903  3 La 3.27-3.36
I 0.3439 0.2631 0.9027  3 La 3.27-3.36
I 0.3473 0.7597 0.9061  3 La 3.27-3.36
I 0.7597 0.3473 0.9869  3 La 3.27-3.36

Summary:
Crystal system: orthorhombic
ρ (g cm⁻³): 5.373
Raw total energy (eV/f.u.): -15.37
Spin magnetization (μB/cell): 0.00